1.
# CdWOF2 (meta-GGA SCAN, single point on PBEsol structure)
# Uncorrected formation energy = -0.37 eV per formula unit
data_CdWOF2
_chemical_formula_sum 'Cd1 W1 O1 F2'
_space_group_name_H-M_alt 'P 4/m m m'
_space_group_IT_number 123
_space_group_name_Hall '-P 4 2'
_cell_length_a 4.155
_cell_length_b 4.155
_cell_length_c 4.462
_cell_angle_alpha 90.00
_cell_angle_beta 90.00
_cell_angle_gamma 90.00
loop_
_atom_site_label
_atom_site_type_symbol
_atom_site_fract_x
_atom_site_fract_y
_atom_site_fract_z
_atom_site_occupancy
Cd1 Cd 0.000 0.000 0.000 1
W1 W 0.500 0.500 0.500 1
O1 O 0.000 0.000 0.500 1
F1 F 0.000 0.500 0.000 1

=====

2.
# Sc3NbPd (meta-GGA SCAN, single point on PBEsol structure)
# E_form = 0.2465 eV per atom
data_Sc3NbPd
_chemical_formula_sum 'Sc3 Nb1 Pd1'
_space_group_name_H-M_alt 'P m -3 m'
_space_group_IT_number 221
_space_group_name_Hall '-P 4 2 3'
_cell_length_a 4.899
_cell_length_b 4.899
_cell_length_c 4.899
_cell_angle_alpha 90.00
_cell_angle_beta 90.00
_cell_angle_gamma 90.00
loop_
_atom_site_label
_atom_site_type_symbol
_atom_site_fract_x
_atom_site_fract_y
_atom_site_fract_z
_atom_site_occupancy
Sc1 Sc 0.000 0.000 0.500 1
Nb1 Nb 0.500 0.500 0.500 1
Pd1 Pd 0.000 0.000 0.000 1

=====

3.
# Al45V7 (meta-GGA SCAN, single point on PBEsol structure)
# E_form = -0.1623 eV per atom
data_Al45V7
_chemical_formula_sum 'Al90 V14'
_space_group_name_H-M_alt 'C 1 2/m 1'
_space_group_IT_number 12
_space_group_name_Hall '-C 2y'
_cell_length_a 20.700
_cell_length_b 7.557
_cell_length_c 11.004
_cell_angle_alpha 90.00
_cell_angle_beta 106.98
_cell_angle_gamma 90.00
loop_
_atom_site_label
_atom_site_type_symbol
_atom_site_fract_x
_atom_site_fract_y
_atom_site_fract_z
_atom_site_occupancy
Al1 Al 0.000 0.000 0.000 1
Al2 Al 0.021 0.000 0.256 1
Al3 Al 0.036 0.314 0.706 1
Al4 Al 0.045 0.306 0.123 1
Al5 Al 0.069 0.183 0.490 1
Al6 Al 0.082 0.500 0.942 1
Al7 Al 0.090 0.500 0.346 1
Al8 Al 0.115 0.000 0.729 1
Al9 Al 0.125 0.000 0.138 1
Al10 Al 0.129 0.500 0.613 1
Al11 Al 0.165 0.193 0.356 1
Al12 Al 0.180 0.315 0.852 1
Al13 Al 0.190 0.315 0.122 1
Al14 Al 0.206 0.186 0.633 1
Al15 Al 0.207 0.000 0.989 1
Al16 Al 0.224 0.500 0.493 1
V1 V 0.000 0.500 0.500 1
V2 V 0.086 0.170 0.919 1
V3 V 0.249 0.000 0.260 1

=====

4.
# YZrAs2 (meta-GGA SCAN, single point on PBEsol structure)
# E_form = -1.4983 eV per atom
data_YZrAs2
_chemical_formula_sum 'Y3 Zr3 As6'
_space_group_name_H-M_alt 'R -3 m'
_space_group_IT_number 166
_space_group_name_Hall '-R 3 2"'
_cell_length_a 3.9152
_cell_length_b 3.9152
_cell_length_c 19.4253
_cell_angle_alpha 90.00
_cell_angle_beta 90.00
_cell_angle_gamma 120.00
loop_
_atom_site_label
_atom_site_type_symbol
_atom_site_fract_x
_atom_site_fract_y
_atom_site_fract_z
_atom_site_occupancy
Y1 Y 0.0000 0.0000 0.0000 1
Zr1 Zr 0.0000 0.0000 0.5000 1
As1 As 0.0000 0.0000 0.2456 1

=====

5.
# P2RhAuCl (meta-GGA SCAN, single point on PBEsol structure)
# Uncorrected formation energy = 6.48 eV per formula unit
data_P2RhAuCl
_chemical_formula_sum 'P2 Rh1 Au1 Cl1'
_space_group_name_H-M_alt 'P 4/m m m'
_space_group_IT_number 123
_space_group_name_Hall '-P 4 2'
_cell_length_a 4.676
_cell_length_b 4.676
_cell_length_c 4.807
_cell_angle_alpha 90.00
_cell_angle_beta 90.00
_cell_angle_gamma 90.00
loop_
_atom_site_label
_atom_site_type_symbol
_atom_site_fract_x
_atom_site_fract_y
_atom_site_fract_z
_atom_site_occupancy
P1 P 0.000 0.500 0.000 1
Rh1 Rh 0.000 0.000 0.500 1
Au1 Au 0.500 0.500 0.000 1
Cl1 Cl 0.500 0.500 0.500 1

=====

6.
# BaZnP2O (meta-GGA SCAN, single point on PBEsol structure)
# Uncorrected formation energy = -1.33 eV per formula unit
data_BaZnP2O
_chemical_formula_sum 'Ba1 Zn1 P2 O1'
_space_group_name_H-M_alt 'P 4/m m m'
_space_group_IT_number 123
_space_group_name_Hall '-P 4 2'
_cell_length_a 4.614
_cell_length_b 4.614
_cell_length_c 4.508
_cell_angle_alpha 90.00
_cell_angle_beta 90.00
_cell_angle_gamma 90.00
loop_
_atom_site_label
_atom_site_type_symbol
_atom_site_fract_x
_atom_site_fract_y
_atom_site_fract_z
_atom_site_occupancy
Ba1 Ba 0.000 0.000 0.000 1
Zn1 Zn 0.500 0.500 0.500 1
P1 P 0.000 0.500 0.500 1
O1 O 0.500 0.500 0.000 1

=====

7.
# Nd3AlNiS7 (meta-GGA SCAN, single point on PBEsol structure)
# Uncorrected formation energy = -22.43 eV per formula unit
data_Nd3AlNiS7
_chemical_formula_sum 'Nd6 Al2 Ni2 S14'
_space_group_name_H-M_alt 'P 63'
_space_group_IT_number 173
_space_group_name_Hall 'P 6c'
_cell_length_a 9.6619
_cell_length_b 9.6619
_cell_length_c 6.1826
_cell_angle_alpha 90.00
_cell_angle_beta 90.00
_cell_angle_gamma 120.00
loop_
_atom_site_label
_atom_site_type_symbol
_atom_site_fract_x
_atom_site_fract_y
_atom_site_fract_z
_atom_site_occupancy
Nd1 Nd 0.1631 0.7873 0.0000 1
Al1 Al 0.3333 0.6667 0.5761 1
Ni1 Ni 0.0000 0.0000 0.1734 1
S1 S 0.0870 0.5261 0.7186 1
S2 S 0.0993 0.8737 0.4134 1
S3 S 0.3333 0.6667 0.2170 1

=====

8.
# Ca2SiSe (meta-GGA SCAN, single point on PBEsol structure)
# Uncorrected formation energy = -3.62 eV per formula unit
data_Ca2SiSe
_chemical_formula_sum 'Ca4 Si2 Se2'
_space_group_name_H-M_alt 'C m m m'
_space_group_IT_number 65
_space_group_name_Hall '-C 2 2'
_cell_length_a 6.632
_cell_length_b 7.798
_cell_length_c 3.533
_cell_angle_alpha 90.00
_cell_angle_beta 90.00
_cell_angle_gamma 90.00
loop_
_atom_site_label
_atom_site_type_symbol
_atom_site_fract_x
_atom_site_fract_y
_atom_site_fract_z
_atom_site_occupancy
Ca1 Ca 0.250 0.250 0.000 1
Si1 Si 0.000 0.000 0.500 1
Se1 Se 0.000 0.500 0.500 1